Material: AcV2AgO7
Method: DFT, PBE with a Hubbard U
State: optimized geometry

a = 3.711 Å, b = 3.711 Å, c = 10.834 Å
α = 90.00°, β = 90.00°, γ = 90.00°
Space group P4/mmm (No. 123)
Symmetry-distinct sites (fractional):
Ac: 0.000 0.000 0.000 (multiplicity 1)
V: 0.500 0.500 0.223 (multiplicity 2)
Ag: 0.000 0.000 0.500 (multiplicity 1)
O: 0.000 0.500 0.187 (multiplicity 4)
O: 0.500 0.500 0.000 (multiplicity 1)
O: 0.500 0.500 0.378 (multiplicity 2)

Summary:
Size of the total moment ... 0.00 μB per cell
DFT total energy ... -7.07 eV/atom